# YMgSn2I (PBE-GGA, relaxed)
# volume: 36.20 Å³/atom
# energy: -2.979 eV per atom
# theoretical density: 4.4 Mg/m³
# E_form (uncorrected): 0.54 eV/atom
# N(E_F): 0.7351 states/eV per atom
data_YMgSn2I
_chemical_formula_sum 'Y1 Mg1 Sn2 I1'
_cell_length_a 5.864
_cell_length_b 5.864
_cell_length_c 5.264
_cell_angle_alpha 90.00
_cell_angle_beta 90.00
_cell_angle_gamma 90.00
_space_group_name_H-M_alt 'P 4/m m m'
_space_group_IT_number 123
_space_group_name_Hall '-P 4 2'
loop_
_atom_site_label
_atom_site_type_symbol
_atom_site_fract_x
_atom_site_fract_y
_atom_site_fract_z
Y1 Y 0.000 0.000 0.000
Mg1 Mg 0.500 0.500 0.000
Sn1 Sn 0.000 0.500 0.500
I1 I 0.500 0.500 0.500

***

# MgZn2SnI (PBE-GGA, relaxed)
# volume: 35.08 Å³/atom
# energy: -1.636 eV per atom
# theoretical density: 3.8 Mg/m³
# E_form (uncorrected): 0.30 eV/atom
# N(E_F): 0.4320 states/eV per atom
data_MgZn2SnI
_chemical_formula_sum 'Mg1 Zn2 Sn1 I1'
_cell_length_a 5.329
_cell_length_b 5.329
_cell_length_c 6.177
_cell_angle_alpha 90.00
_cell_angle_beta 90.00
_cell_angle_gamma 90.00
_space_group_name_H-M_alt 'P 4/m m m'
_space_group_IT_number 123
_space_group_name_Hall '-P 4 2'
loop_
_atom_site_label
_atom_site_type_symbol
_atom_site_fract_x
_atom_site_fract_y
_atom_site_fract_z
Mg1 Mg 0.000 0.000 0.000
Zn1 Zn 0.000 0.500 0.500
Sn1 Sn 0.500 0.500 0.500
I1 I 0.500 0.500 0.000

***

# Sr2MgI (PBE-GGA, relaxed)
# volume: 38.38 Å³/atom
# energy: -2.188 eV per atom
# theoretical density: 3.5 Mg/m³
# energy relative to the lowest polymorph listed for this composition: 0 meV/atom
# E_form (uncorrected): -0.56 eV/atom
# N(E_F): 0.6283 states/eV per atom
data_Sr2MgI
_chemical_formula_sum 'Sr2 Mg1 I1'
_cell_length_a 4.072
_cell_length_b 4.072
_cell_length_c 9.257
_cell_angle_alpha 90.00
_cell_angle_beta 90.00
_cell_angle_gamma 90.00
_space_group_name_H-M_alt 'P 4/m m m'
_space_group_IT_number 123
_space_group_name_Hall '-P 4 2'
loop_
_atom_site_label
_atom_site_type_symbol
_atom_site_fract_x
_atom_site_fract_y
_atom_site_fract_z
Sr1 Sr 0.000 0.000 0.235
Mg1 Mg 0.500 0.500 0.000
I1 I 0.500 0.500 0.500

***

# Sr2MgI (PBE-GGA, relaxed)
# volume: 45.23 Å³/atom
# energy: -1.907 eV per atom
# theoretical density: 3.0 Mg/m³
# energy relative to the lowest polymorph listed for this composition: 281 meV/atom
# E_form (uncorrected): -0.28 eV/atom
# N(E_F): 0.7470 states/eV per atom
data_Sr2MgI
_chemical_formula_sum 'Sr6 Mg3 I3'
_cell_length_a 4.1291
_cell_length_b 4.1291
_cell_length_c 36.7591
_cell_angle_alpha 90.00
_cell_angle_beta 90.00
_cell_angle_gamma 120.00
_space_group_name_H-M_alt 'R -3 m'
_space_group_IT_number 166
_space_group_name_Hall '-R 3 2"'
loop_
_atom_site_label
_atom_site_type_symbol
_atom_site_fract_x
_atom_site_fract_y
_atom_site_fract_z
Sr1 Sr 0.0000 0.0000 0.0968
Mg1 Mg 0.0000 0.0000 0.0000
I1 I 0.0000 0.0000 0.5000